An optimized crystal structure of Rb3Ca3RuO8, computed with PBE-GGA.

Total magnetic moment in μB per cell: 2.945
Raw formation energy in eV per atom: -1.822
Total DFT energy (no corrections) in eV per atom: -5.679

Cell: 6.8836 6.8836 19.5776 Å, 90.00 90.00 120.00°
Space group R-3m (No. 166, hexagonal axes)
Inequivalent atoms, fractional coordinates:
Rb (0.0000, 0.5000, 0.0000) (multiplicity 9)
Ca (0.0000, 0.5000, 0.5000) (multiplicity 9)
Ru (0.0000, 0.0000, 0.5000) (multiplicity 3)
O (0.0000, 0.0000, 0.2247) (multiplicity 6)
O (0.0617, 0.5309, 0.2220) (multiplicity 18)